Computed, not measured: a geometry-optimized Dy3P2S2 structure at the GGA-PBE level of DFT.

The structure in POSCAR format:
```
Dy3P2S2
1.0
-2.9713 2.5136 0.7974
-2.1762 -0.4543 -6.6769
-1.1377 -6.0129 4.8189
P Dy S
2 3 2
direct
0.6394 0.7715 0.2787
0.3606 0.2285 0.7213
0.0000 0.5000 0.0000
0.2796 0.7711 0.5591
0.7204 0.2289 0.4409
0.8726 0.6791 0.7453
0.1274 0.3209 0.2547
```

Its mass density is 5.6 g cm⁻³. The total energy comes out at -6.193 eV/atom. The calculation puts the density of states at the Fermi level at 4.44 states/eV/cell. As for the space group: C2/m.

Computed, not measured: a geometry-optimized DyPS structure at the GGA-PBE level of DFT.

The structure in POSCAR format:
```
DyPS
1.0
-2.0428 -4.7559 1.2697
-1.1592 -0.8788 -5.1565
15.0302 -7.0377 -2.1794
P S Dy
8 8 8
direct
0.4630 0.2924 0.9974
0.0370 0.7924 0.5026
0.0370 0.2924 0.9974
0.9630 0.2076 0.4974
0.9630 0.7076 0.0026
0.5370 0.2076 0.4974
0.5370 0.7076 0.0026
0.4630 0.7924 0.5026
0.2500 0.0112 0.8156
0.7500 0.5149 0.8111
0.7500 0.4888 0.3156
0.2500 0.4851 0.1889
0.2500 0.9851 0.3111
0.7500 0.0149 0.6889
0.7500 0.9888 0.1844
0.2500 0.5112 0.6844
0.2500 0.4841 0.3618
0.2500 0.9841 0.1382
0.7500 0.4857 0.1460
0.2500 0.0143 0.6460
0.7500 0.0159 0.8618
0.7500 0.9857 0.3540
0.7500 0.5159 0.6382
0.2500 0.5143 0.8540
```

Its mass density is 6.3 g cm⁻³. The total energy comes out at -6.283 eV/atom. As for the space group: Pnma.

Computed, not measured: a geometry-optimized DyP2S6 structure at the GGA-PBE level of DFT.

The structure in POSCAR format:
```
DyP2S6
1.0
6.3858 0.0000 0.0000
3.1929 5.5303 0.0000
3.1929 1.8434 7.3157
S Dy P
6 1 2
direct
0.0583 0.7269 0.7634
0.2942 0.5677 0.2374
0.5677 0.9007 0.2374
0.4514 0.0583 0.7634
0.7269 0.4514 0.7634
0.9007 0.2942 0.2374
0.3333 0.3333 0.0001
0.6144 0.6144 0.1569
0.7188 0.7188 0.8436
```

Its mass density is 2.7 g cm⁻³. The total energy comes out at -5.083 eV/atom. The calculation puts the density of states at the Fermi level at 8.31 states/eV/cell. As for the space group: R3.

Computed, not measured: a geometry-optimized Dy8P3S4 structure at the GGA-PBE level of DFT.

The structure in POSCAR format:
```
Dy8P3S4
1.0
-5.9369 4.1843 3.0018
0.9355 -0.4863 -7.7974
-0.0777 -7.8540 0.4687
S P Dy
4 3 8
direct
0.0000 0.0000 0.0000
0.0000 0.0000 0.5000
0.0000 0.5000 0.0000
0.5000 0.0000 0.0000
0.5000 0.5000 0.5000
0.5000 0.5000 0.0000
0.5000 0.0000 0.5000
0.0044 0.2487 0.2487
0.4995 0.2516 0.2516
0.9956 0.7513 0.7513
0.5000 0.7473 0.2527
0.0000 0.2479 0.7521
0.5005 0.7484 0.7484
0.5000 0.2527 0.7473
0.0000 0.7521 0.2479
```

Its mass density is 7.4 g cm⁻³. The total energy comes out at -6.386 eV/atom. The calculation puts the density of states at the Fermi level at 6.03 states/eV/cell. As for the space group: C2/m.

Computed, not measured: a geometry-optimized DyPS structure at the GGA-PBE level of DFT.

The structure in POSCAR format:
```
DyPS
1.0
-1.6504 -3.0120 -1.3678
3.2474 -1.1836 -1.3117
1.4492 -4.1057 7.2923
Dy S P
2 2 2
direct
0.0000 0.5000 0.7207
0.5000 0.0000 0.2793
0.5000 0.0000 0.6255
0.0000 0.5000 0.3745
0.5000 0.5000 0.0000
0.0000 0.0000 0.0000
```

Its mass density is 6.5 g cm⁻³. The total energy comes out at -6.229 eV/atom. The calculation puts the density of states at the Fermi level at 2.89 states/eV/cell. As for the space group: P4/nmm.

Computed, not measured: a geometry-optimized Dy5P4S structure at the GGA-PBE level of DFT.

The structure in POSCAR format:
```
Dy5P4S
1.0
-1.5652 -4.1761 3.4506
4.9561 -2.0767 4.3421
-2.7275 2.1501 5.9722
P Dy S
4 5 1
direct
0.7995 0.8019 0.6010
0.6015 0.6010 0.1981
0.2025 0.1981 0.3990
0.4006 0.3990 0.8019
0.8994 0.4051 0.7981
0.6975 0.2019 0.4051
0.3045 0.7981 0.5949
0.5011 0.0000 0.0000
0.1026 0.5949 0.2019
0.0011 0.0000 0.0000
```

Its mass density is 7.2 g cm⁻³. The total energy comes out at -6.628 eV/atom. The calculation puts the density of states at the Fermi level at 2.13 states/eV/cell. As for the space group: I4/m.

Computed, not measured: a geometry-optimized Dy8P4S3 structure at the GGA-PBE level of DFT.

The structure in POSCAR format:
```
Dy8P4S3
1.0
-3.2549 -6.0725 3.8687
7.6141 1.7405 1.0941
-1.9801 7.3947 1.8972
Dy P S
8 4 3
direct
0.0000 0.7533 0.2467
0.0000 0.2467 0.7533
0.5000 0.2471 0.7529
0.9969 0.2472 0.2472
0.4904 0.2432 0.2432
0.0031 0.7528 0.7528
0.5096 0.7568 0.7568
0.5000 0.7529 0.2471
0.0000 0.5000 0.0000
0.0000 0.0000 0.0000
0.5000 0.0000 0.0000
0.0000 0.0000 0.5000
0.5000 0.5000 0.5000
0.5000 0.0000 0.5000
0.5000 0.5000 0.0000
```

Its mass density is 7.3 g cm⁻³. The total energy comes out at -6.431 eV/atom. The calculation puts the density of states at the Fermi level at 5.82 states/eV/cell. As for the space group: C2/m.

Computed, not measured: a geometry-optimized DyPS structure at the GGA-PBE level of DFT.

The structure in POSCAR format:
```
DyPS
1.0
-4.9666 -0.5836 1.3398
3.2137 -1.3560 1.3200
1.0087 7.0869 6.8266
P S Dy
2 2 2
direct
0.5168 0.0335 0.3969
0.4832 0.9665 0.6031
0.2737 0.5473 0.8972
0.7263 0.4527 0.1028
0.1998 0.3997 0.1916
0.8002 0.6003 0.8084
```

Its mass density is 5.5 g cm⁻³. The total energy comes out at -5.897 eV/atom. The calculation puts the density of states at the Fermi level at 1.96 states/eV/cell. As for the space group: C2/m.

Copy entry 5 word for word.
Computed, not measured: a geometry-optimized DyPS structure at the GGA-PBE level of DFT.

The structure in POSCAR format:
```
DyPS
1.0
-1.6504 -3.0120 -1.3678
3.2474 -1.1836 -1.3117
1.4492 -4.1057 7.2923
Dy S P
2 2 2
direct
0.0000 0.5000 0.7207
0.5000 0.0000 0.2793
0.5000 0.0000 0.6255
0.0000 0.5000 0.3745
0.5000 0.5000 0.0000
0.0000 0.0000 0.0000
```

Its mass density is 6.5 g cm⁻³. The total energy comes out at -6.229 eV/atom. The calculation puts the density of states at the Fermi level at 2.89 states/eV/cell. As for the space group: P4/nmm.

Question: mass density of number 4 (Dy8P3S4)?
Answer: 7.4 g cm⁻³